# 1
NdTa4 | PBE | optimized geometry

It has space group Pm-3m (No. 221), with a = 4.914 Å, b = 4.914 Å, c = 4.914 Å, α = 90.00°, β = 90.00° and γ = 90.00°. The asymmetric unit holds Nd at (0.000, 0.000, 0.000), Ta at (0.000, 0.000, 0.500) and Ta at (0.500, 0.500, 0.500).

The total energy comes out at -39.5 eV/f.u.

# 2
NdTa4Te8 | PBE | optimized geometry

It has space group R-3m (No. 166, hexagonal axes), with a = 7.6191 Å, b = 7.6191 Å, c = 23.1013 Å, α = 90.00°, β = 90.00° and γ = 120.00°. The asymmetric unit holds Nd at (0.0000, 0.0000, 0.0000), Ta at (0.0000, 0.0000, 0.5000), Ta at (0.0000, 0.5000, 0.5000), Te at (0.0000, 0.0000, 0.2435) and Te at (0.0106, 0.5053, 0.2433).

The total energy comes out at -81.8 eV/f.u.

# 3
Nd2ThTa | PBE | optimized geometry

It has space group R-3m (No. 166, hexagonal axes), with a = 3.3263 Å, b = 3.3263 Å, c = 36.2031 Å, α = 90.00°, β = 90.00° and γ = 120.00°. The asymmetric unit holds Nd at (0.0000, 0.0000, 0.0817), Th at (0.0000, 0.0000, 0.5000) and Ta at (0.0000, 0.0000, 0.0000).

The total energy comes out at -26.1 eV/f.u.

# 4
Nd2TaZn | PBE | optimized geometry

It has space group R-3m (No. 166, hexagonal axes), with a = 3.2056 Å, b = 3.2056 Å, c = 34.0311 Å, α = 90.00°, β = 90.00° and γ = 120.00°. The asymmetric unit holds Nd at (0.0000, 0.0000, 0.0897), Ta at (0.0000, 0.0000, 0.0000) and Zn at (0.0000, 0.0000, 0.5000).

The total energy comes out at -20.2 eV/f.u.

# 5
Tb5Nd | PBE | optimized geometry

It has space group Cmmm (No. 65), with a = 5.060 Å, b = 15.200 Å, c = 5.063 Å, α = 90.00°, β = 90.00° and γ = 90.00°. The asymmetric unit holds Tb at (0.000, 0.000, 0.000), Tb at (0.000, 0.168, 0.500), Tb at (0.000, 0.333, 0.000) and Nd at (0.000, 0.500, 0.500).

The total energy comes out at -27.8 eV/f.u.

# 6
Tb4Nd | PBE | optimized geometry

It has space group Cmmm (No. 65), with a = 5.478 Å, b = 16.845 Å, c = 3.540 Å, α = 90.00°, β = 90.00° and γ = 90.00°. The asymmetric unit holds Tb at (0.000, 0.110, 0.000), Tb at (0.000, 0.300, 0.500) and Nd at (0.000, 0.500, 0.500).

The energy above the most stable polymorph in this dataset comes out at 2.6 kJ per mole of atoms.

# 7
TbNd2 | PBE | optimized geometry

It has space group I4/mmm (No. 139), with a = 3.645 Å, b = 3.645 Å, c = 15.451 Å, α = 90.00°, β = 90.00° and γ = 90.00°. The asymmetric unit holds Tb at (0.000, 0.000, 0.000) and Nd at (0.000, 0.000, 0.335).

The energy above the most stable polymorph in this dataset comes out at 0.0 kJ per mole of atoms.

# 8
TbNd | PBE | optimized geometry

It has space group Pmmn (No. 59, origin choice 2), with a = 3.622 Å, b = 5.122 Å, c = 7.240 Å, α = 90.00°, β = 90.00° and γ = 90.00°. The asymmetric unit holds Tb at (0.250, 0.250, 0.122) and Nd at (0.250, 0.250, 0.627).

The energy above the most stable polymorph in this dataset comes out at 0.0 kJ per mole of atoms.

# 9
Tb13Nd3 | PBE | optimized geometry

It has space group Amm2 (No. 38), with a = 10.119 Å, b = 10.139 Å, c = 10.144 Å, α = 90.00°, β = 90.00° and γ = 90.00°. The asymmetric unit holds Tb at (0.000, 0.000, 0.000), Tb at (0.000, 0.000, 0.497), Tb at (0.000, 0.249, 0.249), Tb at (0.249, 0.000, 0.248), Tb at (0.249, 0.249, 0.999), Tb at (0.500, 0.000, 0.000), Tb at (0.500, 0.249, 0.249), Nd at (0.249, 0.000, 0.749) and Nd at (0.500, 0.000, 0.497).

The energy above the most stable polymorph in this dataset comes out at 0.0 kJ per mole of atoms.

# 10
Tb6Nd5 | PBE | optimized geometry

It has space group C2/m (No. 12), with a = 9.171 Å, b = 13.271 Å, c = 6.468 Å, α = 90.00°, β = 107.85° and γ = 90.00°. The asymmetric unit holds Tb at (0.164, 0.000, 0.190), Tb at (0.176, 0.129, 0.673), Nd at (0.000, 0.239, 0.000), Nd at (0.000, 0.370, 0.500) and Nd at (0.000, 0.500, 0.000).

The energy above the most stable polymorph in this dataset comes out at 2.1 kJ per mole of atoms.

# 11
Tb5Nd | PBE | optimized geometry

It has space group C2/m (No. 12), with a = 11.333 Å, b = 5.055 Å, c = 7.164 Å, α = 90.00°, β = 108.46° and γ = 90.00°. The asymmetric unit holds Tb at (0.000, 0.000, 0.000), Tb at (0.167, 0.500, 0.332), Tb at (0.167, 0.500, 0.835) and Nd at (0.000, 0.000, 0.500).

The total energy comes out at -27.8 eV/f.u.

# 12
Tb3Nd | PBE | optimized geometry

It has space group Fm-3m (No. 225), with a = 8.087 Å, b = 8.087 Å, c = 8.087 Å, α = 90.00°, β = 90.00° and γ = 90.00°. The asymmetric unit holds Tb at (0.000, 0.000, 0.000), Tb at (0.250, 0.250, 0.250) and Nd at (0.000, 0.000, 0.500).

The energy above the most stable polymorph in this dataset comes out at 12.0 kJ per mole of atoms.

| no. | volume (Å³ per cell) |
| --- | --- |
| 1 | 118.7 |
| 2 | 1161.4 |
| 3 | 346.9 |
| 4 | 302.9 |
| 5 | 389.4 |
| 6 | 326.7 |
| 7 | 205.3 |
| 8 | 134.3 |
| 9 | 1040.7 |
| 10 | 749.4 |
| 11 | 389.3 |
| 12 | 528.9 |